A) PdRuSe2N: relaxed, PBE.

Cell lengths 5.0742, 5.0742, 3.6257 Å; angles 90.00, 90.00, 90.00 degrees
Sites, in units of the cell vectors:
Se (0.5000, 0.0000, 0.0000)
Se (0.0000, 0.5000, 0.0000)
N (0.0000, 0.0000, 0.5000)
Pd (0.0000, 0.0000, 0.0000)
Ru (0.5000, 0.5000, 0.5000)

Results
D(E_F) = 1.55 states/eV per atom
crystal system = tetragonal
V = 93.35 Å³ per cell

***

B) PdRuSe2N: relaxed, PBE.

Cell lengths 5.0315, 5.0315, 3.6053 Å; angles 90.00, 90.00, 90.00 degrees
Sites, in units of the cell vectors:
Se (0.0000, 0.5000, 0.0000)
Se (0.5000, 0.0000, 0.0000)
N (0.0000, 0.0000, 0.5000)
Ru (0.0000, 0.0000, 0.0000)
Pd (0.5000, 0.5000, 0.5000)

Results
D(E_F) = 0.71 states/eV per atom
crystal system = tetragonal
V = 91.27 Å³ per cell

***

How far above the most stable structure does each one sit? In meV/atom: A) 720; B) 0.

***

A) TePdRuN2: relaxed, PBE.

Cell lengths 3.7898, 3.7898, 5.8913 Å; angles 90.00, 90.00, 90.00 degrees
Sites, in units of the cell vectors:
Ru (0.0000, 0.0000, 0.0000)
N (0.0000, 0.5000, 0.0000)
N (0.5000, 0.0000, 0.0000)
Te (0.0000, 0.0000, 0.5000)
Pd (0.5000, 0.5000, 0.5000)

Results
D(E_F) = 0.57 states/eV per atom
crystal system = tetragonal
V = 84.61 Å³ per cell

***

B) TePdRuN2: relaxed, PBE.

Cell lengths 3.8135, 3.8135, 6.6077 Å; angles 90.00, 90.00, 90.00 degrees
Sites, in units of the cell vectors:
N (0.0000, 0.5000, 0.0000)
N (0.5000, 0.0000, 0.0000)
Ru (0.5000, 0.5000, 0.5000)
Pd (0.0000, 0.0000, 0.0000)
Te (0.0000, 0.0000, 0.5000)

Results
D(E_F) = 1.02 states/eV per atom
crystal system = tetragonal
V = 96.10 Å³ per cell

***

How far above the most stable structure does each one sit? In meV/atom: A) 0; B) 1028.

***

A) Te2PdRuN: relaxed, PBE.

Cell lengths 5.3712, 5.3712, 3.6018 Å; angles 90.00, 90.00, 90.00 degrees
Sites, in units of the cell vectors:
N (0.0000, 0.0000, 0.5000)
Ru (0.0000, 0.0000, 0.0000)
Te (0.5000, 0.0000, 0.0000)
Te (0.0000, 0.5000, 0.0000)
Pd (0.5000, 0.5000, 0.5000)

Results
D(E_F) = 0.60 states/eV per atom
crystal system = tetragonal
V = 103.91 Å³ per cell

***

B) Te2PdRuN: relaxed, PBE.

Cell lengths 5.3780, 5.3780, 3.6249 Å; angles 90.00, 90.00, 90.00 degrees
Sites, in units of the cell vectors:
Te (0.0000, 0.5000, 0.0000)
Te (0.5000, 0.0000, 0.0000)
Ru (0.5000, 0.5000, 0.5000)
N (0.0000, 0.0000, 0.5000)
Pd (0.0000, 0.0000, 0.0000)

Results
D(E_F) = 1.10 states/eV per atom
crystal system = tetragonal
V = 104.84 Å³ per cell

***

How far above the most stable structure does each one sit? In meV/atom: A) 0; B) 739.